Entry 1:
First-principles (meta-GGA SCAN) data for a PBEsol-optimized structure of NiRh2SeN, as listed in Alexandria.

```
NiRh2SeN
1.0
4.4982 0.0000 0.0000
0.0000 4.4982 0.0000
0.0000 0.0000 4.2204
Ni Rh Se N
1 2 1 1
Cartesian
0.0000 0.0000 0.0000 Ni
0.0000 2.2491 2.1102 Rh
2.2491 0.0000 2.1102 Rh
0.0000 0.0000 2.1102 Se
2.2491 2.2491 0.0000 N
```

Summary:
Crystal system: tetragonal
D(E_F): 0.93 states/eV per atom
Density: 6.95 g/cm3
E_form (uncorrected): 157.25 kJ/mol of atoms
Magnetization: 3.31 μB/cell
Electronic total energy: -20.987 eV per atom



Entry 2:
First-principles (meta-GGA SCAN) data for a PBEsol-optimized structure of CsEuPO4, as listed in Alexandria.

```
CsEuPO4
1.0
7.8512 0.0000 0.0000
0.0000 5.4297 0.0000
0.0000 0.0000 10.5234
Cs Eu P O
4 4 4 16
Cartesian
1.0086 1.3574 0.7217 Cs
2.9170 4.0723 5.9834 Cs
4.9342 1.3574 4.5401 Cs
6.8426 4.0723 9.8018 Cs
0.2897 1.3574 7.0851 Eu
3.6359 4.0723 1.8234 Eu
4.2154 1.3574 8.7001 Eu
7.5615 4.0723 3.4384 Eu
1.4954 1.3574 4.0948 P
2.4302 4.0723 9.3565 P
5.4211 1.3574 1.1669 P
6.3558 4.0723 6.4286 P
0.0506 4.0723 6.2450 O
1.8038 4.0723 0.2578 O
1.9168 0.0685 3.3290 O
1.9168 2.6463 3.3290 O
2.0088 2.7834 8.5907 O
2.0088 5.3612 8.5907 O
2.1218 1.3574 5.5195 O
3.8751 1.3574 0.9833 O
3.9762 4.0723 9.5401 O
5.7294 4.0723 5.0039 O
5.8424 0.0685 1.9327 O
5.8424 2.6463 1.9327 O
5.9344 2.7834 7.1945 O
5.9344 5.3612 7.1945 O
6.0475 1.3574 10.2656 O
7.8007 1.3574 4.2784 O
```

Summary:
Crystal system: orthorhombic
Density: 5.62 g/cm3
E_form (uncorrected): -271.81 kJ/mol of atoms
Magnetization: 28.00 μB/cell
Electronic total energy: -20.938 eV per atom



Entry 3:
First-principles (meta-GGA SCAN) data for a PBEsol-optimized structure of BaCaSe2Br, as listed in Alexandria.

```
BaCaSe2Br
1.0
5.3940 0.0000 0.0000
0.0000 5.3940 0.0000
0.0000 0.0000 5.4983
Ba Ca Se Br
1 1 2 1
Cartesian
0.0000 0.0000 0.0000 Ba
2.6970 2.6970 2.7492 Ca
0.0000 2.6970 2.7492 Se
2.6970 0.0000 2.7492 Se
2.6970 2.6970 0.0000 Br
```

Summary:
Crystal system: tetragonal
D(E_F): 0.35 states/eV per atom
Density: 4.31 g/cm3
E_form (uncorrected): -166.36 kJ/mol of atoms
Magnetization: 0.80 μB/cell
Electronic total energy: -23.490 eV per atom



Entry 4:
First-principles (meta-GGA SCAN) data for a PBEsol-optimized structure of LaHfSnN2, as listed in Alexandria.

```
LaHfSnN2
1.0
4.2670 0.0000 0.0000
0.0000 4.2670 0.0000
0.0000 0.0000 5.7211
La Hf Sn N
1 1 1 2
Cartesian
0.0000 0.0000 0.0000 La
2.1335 2.1335 0.0000 Hf
0.0000 0.0000 2.8606 Sn
0.0000 2.1335 2.8606 N
2.1335 0.0000 2.8606 N
```

Summary:
Crystal system: tetragonal
D(E_F): 0.88 states/eV per atom
Density: 7.40 g/cm3
E_form (uncorrected): 167.92 kJ/mol of atoms
Magnetization: 0.00 μB/cell
Electronic total energy: -30.316 eV per atom



Entry 5:
First-principles (meta-GGA SCAN) data for a PBEsol-optimized structure of SrLiAg4, as listed in Alexandria.

```
SrLiAg4
1.0
0.0000 3.9610 3.9610
3.9610 0.0000 3.9610
3.9610 3.9610 0.0000
Sr Li Ag
1 1 4
Cartesian
0.0000 0.0000 0.0000 Sr
5.9415 5.9415 5.9415 Li
2.9767 2.9767 2.9767 Ag
4.9454 4.9454 2.9767 Ag
4.9454 2.9767 4.9454 Ag
2.9767 4.9454 4.9454 Ag
```

Summary:
Crystal system: cubic
D(E_F): 0.43 states/eV per atom
Energy of formation from the pure elements: -1.16 eV/f.u.
Density: 7.03 g/cm3
Magnetization: 0.00 μB/cell
Electronic total energy: -25.215 eV per atom



Entry 6:
First-principles (meta-GGA SCAN) data for a PBEsol-optimized structure of TaCl5, as listed in Alexandria.

```
TaCl5
1.0
9.3882 -9.0481 0.0000
9.3882 9.0481 0.0000
-0.0700 0.0000 5.9935
Ta Cl
6 30
Cartesian
9.3882 7.0867 0.0000 Ta
6.2188 1.9622 3.1418 Ta
6.2188 -1.9622 3.1418 Ta
12.4877 1.9622 2.8518 Ta
12.4877 -1.9622 2.8518 Ta
9.3882 -7.0867 0.0000 Ta
1.7921 1.7378 4.6533 Cl
0.9400 0.0000 1.3015 Cl
5.1553 3.3870 4.5361 Cl
8.2955 5.6632 4.5683 Cl
4.3948 1.7380 1.7499 Cl
1.7921 -1.7378 4.6533 Cl
7.2829 3.3817 1.7422 Cl
10.4110 5.6632 1.4252 Cl
5.2395 0.0000 4.4143 Cl
4.3948 -1.7380 1.7499 Cl
8.0371 1.7388 4.5381 Cl
7.1957 0.0000 1.8688 Cl
11.4236 3.3817 4.2514 Cl
5.1553 -3.3870 4.5361 Cl
10.6694 1.7388 1.4554 Cl
8.0371 -1.7388 4.5381 Cl
13.5512 3.3870 1.4575 Cl
7.2829 -3.3817 1.7422 Cl
11.5108 0.0000 4.1247 Cl
10.6694 -1.7388 1.4554 Cl
14.3116 1.7380 4.2437 Cl
13.4669 0.0000 1.5792 Cl
8.2955 -5.6632 4.5683 Cl
11.4236 -3.3817 4.2514 Cl
16.9144 1.7378 1.3403 Cl
14.3116 -1.7380 4.2437 Cl
10.4110 -5.6632 1.4252 Cl
13.5512 -3.3870 1.4575 Cl
17.7664 0.0000 4.6921 Cl
16.9144 -1.7378 1.3403 Cl
```

Summary:
Crystal system: monoclinic
D(E_F): 0.00 states/eV per atom
Density: 3.51 g/cm3
E_form (uncorrected): -140.94 kJ/mol of atoms
Magnetization: 0.00 μB/cell
Electronic total energy: -19.206 eV per atom